A relaxed SrSc2Co crystal. Source: Alexandria, functional GGA-PBE.

Results
E above lowest polymorph = 13 meV/atom
total magnetization = 0.00 μB/cell
uncorrected energy = -5.343 eV per atom

```
8
Lattice="6.7562 0.0000 0.0000 0.0000 3.8875 0.0000 -2.2557 0.0000 8.2791" Properties=species:S:1:pos:R:3 pbc="T T T"
Sr 0.0000 0.0000 0.0000
Sr 3.3781 1.9438 0.0000
Sc -1.1227 1.9438 5.3075
Sc 1.1295 1.9438 2.9754
Sc 2.2553 0.0000 5.3075
Sc 4.5075 0.0000 2.9754
Co 0.0036 0.0000 4.1542
Co 3.3817 1.9438 4.1542
```

A relaxed Sr2ScCo crystal. Source: Alexandria, functional GGA-PBE.

Results
E above lowest polymorph = 0 meV/atom
total magnetization = 0.00 μB/cell
uncorrected energy = -4.065 eV per atom

```
4
Lattice="3.8306 0.0000 0.0000 0.0000 3.6095 0.0000 -1.9079 0.0000 9.0339" Properties=species:S:1:pos:R:3 pbc="T T T"
Sr 0.0000 0.0000 0.0000
Sr 0.0056 1.8047 5.5361
Sc 1.9141 1.8047 2.5834
Co -0.0023 0.0000 2.9952
```